The following is a PBE calculation of an optimized crystal structure of GdY3Ni, from Alexandria.

The structure in POSCAR format:
```
GdY3Ni
1.0
-5.281 -0.593 -0.480
0.704 -5.078 -1.478
-0.293 -1.526 5.104
Y Gd Ni
3 1 1
Cartesian
-0.146 -0.763 2.552
-2.640 -0.296 -0.240
0.352 -2.539 -0.739
-2.434 -3.598 1.573
0.000 0.000 0.000
```

Calculated formation energy ... -31 kJ/mol of formula units
Volume ... 30.37 Å³/atom
E ... -39.57 eV/f.u.
SG ... Pm-3m (221)

***

The following is a PBE calculation of an optimized crystal structure of GdY2Ni, from Alexandria.

The structure in POSCAR format:
```
GdY2Ni
1.0
3.467 0.000 0.000
0.000 3.467 0.000
0.000 0.000 8.736
Y Gd Ni
2 1 1
Cartesian
0.000 0.000 7.118
0.000 0.000 1.618
1.734 1.734 4.368
1.734 1.734 0.000
```

Polymorph energy (0 for the lowest one) ... 0 meV/atom
Calculated formation energy ... -59 kJ/mol of formula units
Volume ... 26.26 Å³/atom
E ... -33.40 eV/f.u.
SG ... P4/mmm (123)

***

The following is a PBE calculation of an optimized crystal structure of GdYNi, from Alexandria.

The structure in POSCAR format:
```
GdYNi
1.0
-3.244 -1.948 1.071
3.541 -1.612 0.572
0.285 2.625 5.636
Gd Ni Y
1 1 1
Cartesian
0.026 0.238 0.512
-0.887 -0.958 2.792
1.443 -0.216 3.976
```

Polymorph energy (0 for the lowest one) ... 73 meV/atom
Calculated formation energy ... -43 kJ/mol of formula units
Volume ... 27.79 Å³/atom
E ... -26.77 eV/f.u.
SG ... P3m1 (156)

***

The following is a PBE calculation of an optimized crystal structure of GdY2Ni, from Alexandria.

The structure in POSCAR format:
```
GdY2Ni
1.0
-1.120 2.890 1.826
-3.280 1.348 -0.602
-5.351 -4.748 7.778
Y Ni Gd
2 1 1
Cartesian
-4.063 -2.705 5.334
-5.688 2.195 3.668
-4.876 -0.255 4.501
0.000 0.000 0.000
```

Polymorph energy (0 for the lowest one) ... 232 meV/atom
Calculated formation energy ... 30 kJ/mol of formula units
Volume ... 29.03 Å³/atom
E ... -32.48 eV/f.u.
SG ... R-3m (166)

***

The following is a PBE calculation of an optimized crystal structure of GdZnNi2, from Alexandria.

The structure in POSCAR format:
```
GdZnNi2
1.0
3.210 0.000 0.000
0.000 3.210 0.000
0.000 0.000 6.171
Ni Gd Zn
2 1 1
Cartesian
0.000 0.000 1.241
0.000 0.000 4.929
1.605 1.605 3.085
1.605 1.605 0.000
```

Calculated formation energy ... -86 kJ/mol of formula units
Volume ... 15.89 Å³/atom
E ... -27.81 eV/f.u.
SG ... P4/mmm (123)

***

The following is a PBE calculation of an optimized crystal structure of GdZnNi, from Alexandria.

The structure in POSCAR format:
```
GdZnNi
1.0
-2.247 2.137 1.993
-1.006 -3.329 2.436
3.285 2.480 1.044
Gd Ni Zn
1 1 1
Cartesian
-1.074 0.032 3.301
-0.374 0.356 0.332
1.480 0.900 1.841
```

Calculated formation energy ... -107 kJ/mol of formula units
Volume ... 19.19 Å³/atom
E ... -22.24 eV/f.u.
SG ... P-6m2 (187)

***

The following is a PBE calculation of an optimized crystal structure of GdZnNi, from Alexandria.

The structure in POSCAR format:
```
GdZnNi
1.0
-0.213 4.427 -0.304
-1.602 2.385 3.389
2.733 2.527 2.425
Zn Gd Ni
1 1 1
Cartesian
0.000 0.000 0.000
0.459 4.669 2.755
0.230 2.335 1.378
```

Calculated formation energy ... -72 kJ/mol of formula units
Volume ... 20.67 Å³/atom
E ... -21.88 eV/f.u.
SG ... F-43m (216)

***

The following is a PBE calculation of an optimized crystal structure of Gd2ZnNi, from Alexandria.

The structure in POSCAR format:
```
Gd2ZnNi
1.0
4.965 0.000 0.000
2.482 4.299 0.000
2.482 1.433 4.054
Gd Ni Zn
2 1 1
Cartesian
7.447 4.299 3.040
2.482 1.433 1.013
4.965 2.866 2.027
0.000 0.000 0.000
```

Polymorph energy (0 for the lowest one) ... 27 meV/atom
Calculated formation energy ... -121 kJ/mol of formula units
Volume ... 21.63 Å³/atom
E ... -36.47 eV/f.u.
SG ... Fm-3m (225)

***

The following is a PBE calculation of an optimized crystal structure of GdZn2Ni, from Alexandria.

The structure in POSCAR format:
```
GdZn2Ni
1.0
3.174 0.000 0.000
0.000 3.174 0.000
0.000 0.000 6.827
Gd Zn Ni
1 2 1
Cartesian
1.587 1.587 3.413
0.000 0.000 5.558
0.000 0.000 1.269
1.587 1.587 0.000
```

Calculated formation energy ... -79 kJ/mol of formula units
Volume ... 17.19 Å³/atom
E ... -23.23 eV/f.u.
SG ... P4/mmm (123)

***

The following is a PBE calculation of an optimized crystal structure of Gd2ZnNi, from Alexandria.

The structure in POSCAR format:
```
Gd2ZnNi
1.0
-2.142 -1.956 2.635
-0.439 -3.881 -0.323
6.637 -3.222 5.917
Gd Zn Ni
2 1 1
Cartesian
4.090 -2.789 4.169
-0.034 -6.270 4.061
0.000 0.000 0.000
2.028 -4.529 4.115
```

Polymorph energy (0 for the lowest one) ... 439 meV/atom
Calculated formation energy ... 38 kJ/mol of formula units
Volume ... 30.53 Å³/atom
E ... -34.82 eV/f.u.
SG ... R-3m (166)

***

The following is a PBE calculation of an optimized crystal structure of GdZnNi, from Alexandria.

The structure in POSCAR format:
```
GdZnNi
1.0
3.338 0.000 0.000
0.000 3.338 0.000
-1.669 -1.669 4.909
Zn Ni Gd
1 1 1
Cartesian
1.669 1.669 1.454
0.000 0.000 2.548
1.669 1.669 4.343
```

Calculated formation energy ... -76 kJ/mol of formula units
Volume ... 18.23 Å³/atom
E ... -21.92 eV/f.u.
SG ... I4mm (107)

***

The following is a PBE calculation of an optimized crystal structure of Gd2ZnNi, from Alexandria.

The structure in POSCAR format:
```
Gd2ZnNi
1.0
-0.810 -3.012 1.598
3.410 -0.740 0.334
0.102 3.279 6.230
Ni Gd Zn
1 2 1
Cartesian
1.300 -1.876 0.966
0.078 2.512 4.773
0.024 0.767 1.457
1.351 -0.237 4.081
```

Polymorph energy (0 for the lowest one) ... 0 meV/atom
Calculated formation energy ... -132 kJ/mol of formula units
Volume ... 21.62 Å³/atom
E ... -36.58 eV/f.u.
SG ... P4/mmm (123)

***

The following is a PBE calculation of an optimized crystal structure of GdZn2Ni, from Alexandria.

The structure in POSCAR format:
```
GdZn2Ni
1.0
4.156 0.000 0.000
2.078 3.599 0.000
2.078 1.200 4.952
Gd Zn Ni
1 2 1
Cartesian
0.000 0.000 0.000
2.078 1.200 1.874
6.234 3.599 3.078
4.156 2.400 2.476
```

Calculated formation energy ... -108 kJ/mol of formula units
Volume ... 18.52 Å³/atom
E ... -23.53 eV/f.u.
SG ... R-3m (166)

***

The following is a PBE calculation of an optimized crystal structure of GdZn3Ni, from Alexandria.

The structure in POSCAR format:
```
GdZn3Ni
1.0
4.564 0.000 0.000
0.000 4.564 0.000
0.000 0.000 4.564
Zn Gd Ni
3 1 1
Cartesian
0.000 0.000 2.282
0.000 2.282 0.000
2.282 0.000 0.000
2.282 2.282 2.282
0.000 0.000 0.000
```

Calculated formation energy ... -89 kJ/mol of formula units
Volume ... 19.01 Å³/atom
E ... -24.60 eV/f.u.
SG ... Pm-3m (221)

***

The following is a PBE calculation of an optimized crystal structure of GdZnNi4, from Alexandria.

The structure in POSCAR format:
```
GdZnNi4
1.0
4.910 0.000 0.000
2.455 4.252 0.000
2.455 1.417 4.009
Ni Gd Zn
4 1 1
Cartesian
4.910 1.402 2.511
3.670 3.551 2.511
4.910 2.835 0.485
6.151 3.551 2.511
2.455 1.417 1.002
0.000 0.000 0.000
```

Calculated formation energy ... -208 kJ/mol of formula units
Volume ... 13.95 Å³/atom
E ... -40.63 eV/f.u.
SG ... F-43m (216)

***

The following is a PBE calculation of an optimized crystal structure of GdZrNi2, from Alexandria.

The structure in POSCAR format:
```
GdZrNi2
1.0
-2.739 -0.806 -1.647
-0.623 -2.375 2.199
-3.536 4.386 3.735
Zr Ni Gd
1 2 1
Cartesian
-1.681 -1.590 0.276
-2.805 3.480 2.963
-0.730 0.906 0.772
-3.449 0.603 2.143
```

Polymorph energy (0 for the lowest one) ... 0 meV/atom
Calculated formation energy ... -137 kJ/mol of formula units
Volume ... 18.36 Å³/atom
E ... -35.61 eV/f.u.
SG ... P4/mmm (123)